No. 1
The following is a DFT calculation (PBE-GGA) of K4TiO4 after structural relaxation.

Cell and atoms, written as extended XYZ:
```
36
Lattice="10.643 0.000 0.000 0.000 6.693 0.000 -3.934 0.000 10.084" Properties=species:S:1:pos:R:3 pbc="T T T"
K -0.157 0.573 1.924
K -2.124 2.773 6.966
K 1.416 4.032 0.891
K -0.552 6.007 5.933
K 0.401 4.471 8.976
K 2.368 5.568 3.934
K 1.463 1.354 8.052
K 3.430 1.992 3.010
K 3.279 4.701 7.074
K 5.246 5.339 2.032
K 4.341 1.125 6.150
K 6.308 2.222 1.108
K 7.260 0.686 4.151
K 5.293 2.661 9.193
K 8.833 3.919 3.118
K 6.866 6.120 8.160
Ti -1.307 0.901 10.019
Ti 0.660 2.446 4.977
Ti 6.049 4.247 5.108
Ti 8.016 5.792 0.065
O -2.987 1.612 9.780
O -1.019 1.734 4.738
O -0.865 0.006 8.470
O 1.102 3.341 3.428
O 0.698 3.570 6.460
O 2.665 6.469 1.417
O 1.830 1.051 5.298
O 3.797 2.296 0.256
O 2.912 4.397 9.828
O 4.879 5.642 4.786
O 4.044 0.224 8.667
O 6.011 3.123 3.625
O 5.607 3.352 6.656
O 7.574 6.687 1.614
O 7.728 4.959 5.346
O 9.696 5.081 0.304
```

Calculated values
Magnetic moment = 0.50 Bohr magnetons per cell
Polymorph energy (0 for the lowest one) = 6 meV/atom



No. 2
The following is a DFT calculation (PBE-GGA) of KTiO3 after structural relaxation.

Cell and atoms, written as extended XYZ:
```
20
Lattice="5.802 0.000 0.000 -2.901 5.024 0.000 0.000 0.000 9.664" Properties=species:S:1:pos:R:3 pbc="T T T"
K 0.000 0.000 0.000
K 0.000 0.000 4.832
K 0.000 3.350 2.416
K 2.901 1.675 7.248
Ti 0.000 3.350 5.741
Ti 0.000 3.350 8.754
Ti 2.901 1.675 0.909
Ti 2.901 1.675 3.923
O -1.450 2.512 0.000
O -1.450 2.512 4.832
O 0.000 1.964 7.248
O -1.200 4.042 7.248
O 1.701 0.982 2.416
O 2.901 0.000 0.000
O 2.901 0.000 4.832
O 1.450 2.512 0.000
O 1.450 2.512 4.832
O 1.200 4.042 7.248
O 4.101 0.982 2.416
O 2.901 3.060 2.416
```

Calculated values
Magnetic moment = 4.00 Bohr magnetons per cell



No. 3
The following is a DFT calculation (PBE-GGA) of KTiTlO3 after structural relaxation.

Cell and atoms, written as extended XYZ:
```
12
Lattice="3.249 -6.162 0.000 3.249 6.162 0.000 -0.872 0.000 5.446" Properties=species:S:1:pos:R:3 pbc="T T T"
K 2.595 5.093 4.085
K 3.031 -5.093 1.362
Ti 2.595 0.594 4.085
Ti 3.031 -0.594 1.362
Tl 3.031 2.794 1.362
Tl 2.595 -2.794 4.085
O 2.022 0.362 0.068
O 2.595 2.400 4.085
O 1.586 -0.362 2.791
O 4.040 0.362 2.655
O 3.031 -2.400 1.362
O 3.604 -0.362 5.378
```

Calculated values
Magnetic moment = 0.00 Bohr magnetons per cell



Energy relative to the elements, uncorrected for the records above, in order: -2.076, -2.240, -2.116 eV per atom